First-principles (GGA-PBE) data for an optimized crystal structure of Fe3S4, as listed in OQMD via LeMat-Bulk.

Summary:
Magnetic moment   1.9 μB per formula unit
Electronic total energy   -176.29 eV/cell

Lattice parameters (Å, degrees): 7.934 8.177 8.693 90.00 90.00 90.00
Space group I2_12_12_1 (No. 24)
Asymmetric unit:
Fe: 0.000 0.250 0.112
Fe: 0.126 0.500 0.250
Fe: 0.250 0.378 0.000
S: 0.006 0.497 0.473
S: 0.248 0.265 0.227